The following is a DFT calculation (PBE) of an optimized crystal structure of HoPb4S5.

The density of states at the Fermi level comes out at 6.82 states/eV per cell. Its crystal system is tetragonal. As for the formation energy from raw total energies: -0.812 eV/atom.

The space group is I4 (No. 79) and the conventional cell measures 9.457, 9.457 and 5.924 Å, with angles of 90.00, 90.00 and 90.00 degrees. The asymmetric unit holds Ho at (0.000, 0.000, 0.000), Pb at (0.103, 0.302, 0.514), S at (0.000, 0.000, 0.519) and S at (0.099, 0.272, 0.014).

The following is a DFT calculation (PBE) of an optimized crystal structure of ZrNb2S5.

The density of states at the Fermi level comes out at 11.30 states/eV per cell. Its crystal system is orthorhombic. As for the formation energy from raw total energies: -0.903 eV/atom.

The space group is Fmmm (No. 69) and the conventional cell measures 4.681, 13.137 and 13.445 Å, with angles of 90.00, 90.00 and 90.00 degrees. The asymmetric unit holds Zr at (0.000, 0.000, 0.000), Nb at (0.000, 0.188, 0.500), S at (0.000, 0.000, 0.500) and S at (0.000, 0.165, 0.116).

The following is a DFT calculation (PBE) of an optimized crystal structure of CaNi2S.

The density of states at the Fermi level comes out at 6.06 states/eV per cell. Its crystal system is tetragonal. As for the formation energy from raw total energies: -0.544 eV/atom.

The space group is I4_1/amd (No. 141, origin choice 2) and the conventional cell measures 4.635, 4.635 and 14.245 Å, with angles of 90.00, 90.00 and 90.00 degrees. The asymmetric unit holds Ca at (0.000, 0.250, 0.375), Ni at (0.000, 0.000, 0.000) and S at (0.000, 0.250, 0.875).

The following is a DFT calculation (PBE) of an optimized crystal structure of GaRe2Sn.

The density of states at the Fermi level comes out at 6.40 states/eV per cell. Its crystal system is tetragonal. As for the relative energy among the computed polymorphs: 0.062 eV per atom. For the formation energy from the elements, the calculation gives 587.9 meV/atom.

The space group is I-42d (No. 122) and the conventional cell measures 4.091, 4.091 and 18.435 Å, with angles of 90.00, 90.00 and 90.00 degrees. The asymmetric unit holds Ga at (0.000, 0.000, 0.000), Re at (0.165, 0.250, 0.125) and Sn at (0.000, 0.000, 0.500).